w:
! meta-GGA SCAN Rb3HS2O8, single point on PBEsol structure; values from VASP
&SYSTEM
  ibrav = 0, nat = 28, ntyp = 4
/
ATOMIC_SPECIES
O 16.00 O.upf
Rb 85.47 Rb.upf
S 32.06 S.upf
H 1.01 H.upf
CELL_PARAMETERS angstrom
-1.161 4.026 -4.153
-0.203 -7.529 -3.052
-9.338 1.048 3.626
ATOMIC_POSITIONS crystal
O 0.558 0.253 0.397
O 0.616 0.693 0.387
O 0.839 0.024 0.946
O 0.176 0.306 0.405
O 0.922 0.305 0.114
O 0.870 0.692 0.097
O 0.078 0.693 0.887
O 0.306 0.743 0.104
O 0.382 0.305 0.614
O 0.822 0.692 0.597
O 0.185 0.024 0.446
O 0.805 0.974 0.559
O 0.130 0.306 0.905
O 0.437 0.743 0.604
O 0.169 0.974 0.059
O 0.695 0.253 0.897
Rb 0.534 0.619 0.849
Rb 0.254 0.000 0.751
Rb 0.747 0.000 0.251
Rb 0.912 0.380 0.654
Rb 0.468 0.380 0.154
Rb 0.085 0.619 0.349
S 0.897 0.228 0.965
S 0.103 0.764 0.036
S 0.661 0.764 0.536
S 0.331 0.228 0.465
H 0.018 0.997 0.007
H 0.980 0.997 0.507
! Space-group type: No. 9

---

x:
! meta-GGA SCAN Rb3HS2O8, single point on PBEsol structure; values from VASP
&SYSTEM
  ibrav = 0, nat = 56, ntyp = 4
/
ATOMIC_SPECIES
Rb 85.47 Rb.upf
O 16.00 O.upf
H 1.01 H.upf
S 32.06 S.upf
CELL_PARAMETERS angstrom
-6.340 -4.826 -2.293
-1.571 -3.174 11.024
-2.009 10.829 -3.250
ATOMIC_POSITIONS crystal
Rb 0.120 0.360 0.720
Rb 0.479 0.236 0.472
Rb 0.408 0.140 0.803
Rb 0.521 0.764 0.528
Rb 0.408 0.663 0.803
Rb 0.000 0.227 0.000
Rb 0.880 0.640 0.280
Rb 0.000 0.773 0.000
Rb 0.072 0.857 0.714
Rb 0.592 0.337 0.197
Rb 0.928 0.143 0.286
Rb 0.592 0.860 0.197
O 0.012 0.594 0.707
O 0.230 0.604 0.207
O 0.292 0.893 0.996
O 0.769 0.596 0.515
O 0.769 0.919 0.515
O 0.817 0.379 0.494
O 0.713 0.597 0.982
O 0.192 0.081 0.162
O 0.291 0.865 0.325
O 0.817 0.115 0.494
O 0.708 0.107 0.004
O 0.478 0.396 0.792
O 0.012 0.113 0.707
O 0.292 0.103 0.996
O 0.183 0.621 0.506
O 0.709 0.135 0.675
O 0.713 0.385 0.982
O 0.287 0.403 0.018
O 0.988 0.406 0.293
O 0.501 0.102 0.203
O 0.522 0.604 0.208
O 0.183 0.885 0.506
O 0.499 0.898 0.797
O 0.708 0.897 0.004
O 0.287 0.615 0.018
O 0.231 0.081 0.485
O 0.291 0.460 0.325
O 0.988 0.887 0.293
O 0.709 0.540 0.675
O 0.808 0.919 0.838
O 0.231 0.404 0.485
O 0.770 0.396 0.793
H 0.260 0.518 0.277
H 0.260 0.759 0.277
H 0.740 0.241 0.723
H 0.740 0.482 0.723
S 0.335 0.554 0.108
S 0.681 0.956 0.911
S 0.835 0.066 0.592
S 0.665 0.446 0.892
S 0.165 0.474 0.408
S 0.165 0.934 0.408
S 0.319 0.044 0.089
S 0.835 0.526 0.592
! Space-group type: No. 12

---

Last place for stability: x

---

w:
! meta-GGA SCAN Y2PH, single point on PBEsol structure; values from VASP
&SYSTEM
  ibrav = 0, nat = 8, ntyp = 3
/
ATOMIC_SPECIES
H 1.01 H.upf
Y 88.91 Y.upf
P 30.97 P.upf
CELL_PARAMETERS angstrom
-4.017 1.402 -3.857
1.775 -5.389 -0.883
-4.520 -3.505 0.509
ATOMIC_POSITIONS crystal
H 0.500 0.750 0.750
H 0.000 0.500 0.500
Y 0.060 0.435 0.125
Y 0.940 0.815 0.625
Y 0.560 0.125 0.815
Y 0.440 0.625 0.435
P 0.000 0.000 0.000
P 0.500 0.250 0.250
! Space-group type: No. 122

---

x:
! meta-GGA SCAN Y2PH, single point on PBEsol structure; values from VASP
&SYSTEM
  ibrav = 0, nat = 4, ntyp = 3
/
ATOMIC_SPECIES
H 1.01 H.upf
Y 88.91 Y.upf
P 30.97 P.upf
CELL_PARAMETERS angstrom
-4.622 0.261 0.142
-2.509 -1.337 -3.656
-2.533 -3.871 0.220
ATOMIC_POSITIONS crystal
H 0.000 0.000 0.000
Y 0.250 0.250 0.250
Y 0.750 0.750 0.750
P 0.500 0.500 0.500
! Space-group type: No. 225

---

Last place for stability: x

---

w:
! meta-GGA SCAN SbH2Pb, single point on PBEsol structure; values from VASP
&SYSTEM
  ibrav = 0, nat = 8, ntyp = 3
/
ATOMIC_SPECIES
H 1.01 H.upf
Pb 207.20 Pb.upf
Sb 121.76 Sb.upf
CELL_PARAMETERS angstrom
4.450 0.000 0.000
0.000 4.450 0.000
-2.225 -2.225 6.864
ATOMIC_POSITIONS crystal
H 0.625 0.536 0.750
H 0.125 0.214 0.750
H 0.786 0.375 0.250
H 0.464 0.875 0.250
Pb 0.250 0.750 0.500
Pb 0.000 0.000 0.000
Sb 0.500 0.500 0.000
Sb 0.750 0.250 0.500
! Space-group type: No. 122

---

x:
! meta-GGA SCAN SbH2Pb, single point on PBEsol structure; values from VASP
&SYSTEM
  ibrav = 0, nat = 4, ntyp = 3
/
ATOMIC_SPECIES
Pb 207.20 Pb.upf
Sb 121.76 Sb.upf
H 1.01 H.upf
CELL_PARAMETERS angstrom
-3.525 -1.171 -2.408
0.544 -1.553 -4.109
-0.766 -4.272 -0.871
ATOMIC_POSITIONS crystal
Pb 0.500 0.500 0.500
Sb 0.000 0.000 0.000
H 0.250 0.250 0.250
H 0.750 0.750 0.750
! Space-group type: No. 225

---

Last place for stability: x

---

w:
! meta-GGA SCAN ScSiHPb2, single point on PBEsol structure; values from VASP
&SYSTEM
  ibrav = 0, nat = 5, ntyp = 4
/
ATOMIC_SPECIES
Sc 44.96 Sc.upf
Pb 207.20 Pb.upf
H 1.01 H.upf
Si 28.09 Si.upf
CELL_PARAMETERS angstrom
5.016 0.000 0.000
0.000 5.541 0.000
0.000 0.000 5.541
ATOMIC_POSITIONS crystal
Sc 0.000 0.000 0.000
Pb 0.000 0.000 0.500
Pb 0.000 0.500 0.000
H 0.500 0.500 0.500
Si 0.500 0.000 0.000
! Space-group type: No. 123

---

x:
! meta-GGA SCAN ScSiHPb2, single point on PBEsol structure; values from VASP
&SYSTEM
  ibrav = 0, nat = 5, ntyp = 4
/
ATOMIC_SPECIES
Pb 207.20 Pb.upf
H 1.01 H.upf
Sc 44.96 Sc.upf
Si 28.09 Si.upf
CELL_PARAMETERS angstrom
-3.305 3.772 -0.727
-1.152 -0.027 5.099
3.792 3.491 0.875
ATOMIC_POSITIONS crystal
Pb 0.000 0.500 0.000
Pb 0.000 0.000 0.500
H 0.500 0.500 0.500
Sc 0.500 0.000 0.000
Si 0.000 0.000 0.000
! Space-group type: No. 123

---

Last place for stability: w

---

w:
! meta-GGA SCAN ZnH3Pb, single point on PBEsol structure; values from VASP
&SYSTEM
  ibrav = 0, nat = 5, ntyp = 3
/
ATOMIC_SPECIES
H 1.01 H.upf
Zn 65.41 Zn.upf
Pb 207.20 Pb.upf
CELL_PARAMETERS angstrom
3.796 0.000 0.000
0.000 3.796 0.000
0.000 0.000 3.796
ATOMIC_POSITIONS crystal
H 0.000 0.500 0.000
H 0.000 0.000 0.500
H 0.500 0.000 0.000
Zn 0.000 0.000 0.000
Pb 0.500 0.500 0.500
! Space-group type: No. 221

---

x:
! meta-GGA SCAN ZnH3Pb, single point on PBEsol structure; values from VASP
&SYSTEM
  ibrav = 0, nat = 5, ntyp = 3
/
ATOMIC_SPECIES
H 1.01 H.upf
Zn 65.41 Zn.upf
Pb 207.20 Pb.upf
CELL_PARAMETERS angstrom
-0.354 -3.669 -1.846
2.676 -1.612 2.690
-3.116 -0.967 2.520
ATOMIC_POSITIONS crystal
H 0.500 0.000 0.000
H 0.000 0.000 0.500
H 0.000 0.500 0.000
Zn 0.500 0.500 0.500
Pb 0.000 0.000 0.000
! Space-group type: No. 221

---

Last place for stability: x

---

w:
! meta-GGA SCAN HPd, single point on PBEsol structure; values from VASP
&SYSTEM
  ibrav = 0, nat = 2, ntyp = 2
/
ATOMIC_SPECIES
Pd 106.42 Pd.upf
H 1.01 H.upf
CELL_PARAMETERS angstrom
2.946 0.000 0.000
1.473 2.551 0.000
1.473 0.850 2.405
ATOMIC_POSITIONS crystal
Pd 0.250 0.250 0.250
H 0.500 0.500 0.500
! Space-group type: No. 216

---

x:
! meta-GGA SCAN HPd, single point on PBEsol structure; values from VASP
&SYSTEM
  ibrav = 0, nat = 2, ntyp = 2
/
ATOMIC_SPECIES
Pd 106.42 Pd.upf
H 1.01 H.upf
CELL_PARAMETERS angstrom
-2.668 0.152 -1.054
-1.579 -2.386 -0.262
-2.254 -0.428 1.729
ATOMIC_POSITIONS crystal
Pd 0.000 0.000 0.000
H 0.500 0.500 0.500
! Space-group type: No. 225

---

y:
! meta-GGA SCAN HPd, single point on PBEsol structure; values from VASP
&SYSTEM
  ibrav = 0, nat = 4, ntyp = 2
/
ATOMIC_SPECIES
H 1.01 H.upf
Pd 106.42 Pd.upf
CELL_PARAMETERS angstrom
-0.955 -2.631 -0.667
0.507 0.693 2.746
-4.762 1.608 0.473
ATOMIC_POSITIONS crystal
H 0.667 0.333 0.989
H 0.333 0.667 0.489
Pd 0.667 0.333 0.636
Pd 0.333 0.667 0.136
! Space-group type: No. 186

---

Last place for stability: x

---

w:
! meta-GGA SCAN YHPd3, single point on PBEsol structure; values from VASP
&SYSTEM
  ibrav = 0, nat = 5, ntyp = 3
/
ATOMIC_SPECIES
Pd 106.42 Pd.upf
Y 88.91 Y.upf
H 1.01 H.upf
CELL_PARAMETERS angstrom
-1.402 -2.953 2.467
2.480 -2.701 -1.823
2.942 0.870 2.713
ATOMIC_POSITIONS crystal
Pd 0.500 0.000 0.000
Pd 0.000 0.500 0.000
Pd 0.000 0.000 0.500
Y 0.500 0.500 0.500
H 0.000 0.000 0.000
! Space-group type: No. 221

---

x:
! meta-GGA SCAN YHPd3, single point on PBEsol structure; values from VASP
&SYSTEM
  ibrav = 0, nat = 10, ntyp = 3
/
ATOMIC_SPECIES
Pd 106.42 Pd.upf
H 1.01 H.upf
Y 88.91 Y.upf
CELL_PARAMETERS angstrom
-1.644 0.589 -4.504
5.339 -0.925 -2.070
-3.635 -4.459 0.743
ATOMIC_POSITIONS crystal
Pd 0.750 0.311 0.156
Pd 0.250 0.156 0.311
Pd 0.750 0.844 0.156
Pd 0.250 0.156 0.844
Pd 0.750 0.844 0.689
Pd 0.250 0.689 0.844
H 0.250 0.333 0.667
H 0.750 0.667 0.333
Y 0.750 0.333 0.667
Y 0.250 0.667 0.333
! Space-group type: No. 194

---

Last place for stability: w

---

w:
! meta-GGA SCAN HPtSe2, single point on PBEsol structure; values from VASP
&SYSTEM
  ibrav = 0, nat = 4, ntyp = 3
/
ATOMIC_SPECIES
H 1.01 H.upf
Se 78.96 Se.upf
Pt 195.08 Pt.upf
CELL_PARAMETERS angstrom
3.860 0.000 0.000
1.930 3.343 0.000
1.930 1.114 6.002
ATOMIC_POSITIONS crystal
H 0.000 0.000 0.000
Se 0.099 0.099 0.704
Se 0.901 0.901 0.296
Pt 0.500 0.500 0.500
! Space-group type: No. 166

---

x:
! meta-GGA SCAN HPtSe2, single point on PBEsol structure; values from VASP
&SYSTEM
  ibrav = 0, nat = 8, ntyp = 3
/
ATOMIC_SPECIES
H 1.01 H.upf
Se 78.96 Se.upf
Pt 195.08 Pt.upf
CELL_PARAMETERS angstrom
-1.333 4.553 -2.452
-2.545 -0.969 5.398
5.119 1.522 0.045
ATOMIC_POSITIONS crystal
H 0.750 0.500 0.250
H 0.500 0.000 0.500
Se 0.823 0.250 0.875
Se 0.625 0.750 0.177
Se 0.125 0.750 0.573
Se 0.427 0.250 0.375
Pt 0.250 0.500 0.750
Pt 0.000 0.000 0.000
! Space-group type: No. 122

---

Last place for stability: x

---

w:
! meta-GGA SCAN ReTc3H, single point on PBEsol structure; values from VASP
&SYSTEM
  ibrav = 0, nat = 5, ntyp = 3
/
ATOMIC_SPECIES
Tc 98.00 Tc.upf
Re 186.21 Re.upf
H 1.01 H.upf
CELL_PARAMETERS angstrom
-2.174 -2.741 3.066
-1.333 -2.811 -3.458
3.890 -2.495 0.529
ATOMIC_POSITIONS crystal
Tc 0.500 0.000 0.000
Tc 0.000 0.500 0.000
Tc 0.000 0.000 0.500
Re 0.000 0.000 0.000
H 0.500 0.500 0.500
! Space-group type: No. 221

---

x:
! meta-GGA SCAN ReTc3H, single point on PBEsol structure; values from VASP
&SYSTEM
  ibrav = 0, nat = 5, ntyp = 3
/
ATOMIC_SPECIES
H 1.01 H.upf
Tc 98.00 Tc.upf
Re 186.21 Re.upf
CELL_PARAMETERS angstrom
-0.520 1.929 -3.325
-3.076 -2.222 -0.808
-2.306 2.528 1.828
ATOMIC_POSITIONS crystal
H 0.000 0.000 0.000
Tc 0.500 0.000 0.000
Tc 0.000 0.500 0.000
Tc 0.000 0.000 0.500
Re 0.500 0.500 0.500
! Space-group type: No. 221

---

Last place for stability: w

---

w:
! meta-GGA SCAN SbHRh3, single point on PBEsol structure; values from VASP
&SYSTEM
  ibrav = 0, nat = 5, ntyp = 3
/
ATOMIC_SPECIES
Sb 121.76 Sb.upf
Rh 102.91 Rh.upf
H 1.01 H.upf
CELL_PARAMETERS angstrom
4.792 0.000 0.000
0.000 4.792 0.000
0.000 0.000 4.792
ATOMIC_POSITIONS crystal
Sb 0.000 0.000 0.000
Rh 0.000 0.500 0.000
Rh 0.500 0.000 0.000
Rh 0.000 0.000 0.500
H 0.500 0.500 0.500
! Space-group type: No. 221

---

x:
! meta-GGA SCAN SbHRh3, single point on PBEsol structure; values from VASP
&SYSTEM
  ibrav = 0, nat = 5, ntyp = 3
/
ATOMIC_SPECIES
Rh 102.91 Rh.upf
Sb 121.76 Sb.upf
H 1.01 H.upf
CELL_PARAMETERS angstrom
-1.550 2.498 2.633
-0.736 -3.020 2.432
3.554 0.464 1.652
ATOMIC_POSITIONS crystal
Rh 0.500 0.000 0.000
Rh 0.000 0.500 0.000
Rh 0.000 0.000 0.500
Sb 0.500 0.500 0.500
H 0.000 0.000 0.000
! Space-group type: No. 221

---

Last place for stability: w

---

w:
! meta-GGA SCAN HRhSe2, single point on PBEsol structure; values from VASP
&SYSTEM
  ibrav = 0, nat = 4, ntyp = 3
/
ATOMIC_SPECIES
H 1.01 H.upf
Se 78.96 Se.upf
Rh 102.91 Rh.upf
CELL_PARAMETERS angstrom
-3.368 -0.804 1.456
-1.559 -3.361 -0.617
0.957 -3.486 5.137
ATOMIC_POSITIONS crystal
H 0.000 0.000 0.000
Se 0.100 0.100 0.701
Se 0.900 0.900 0.299
Rh 0.500 0.500 0.500
! Space-group type: No. 166

---

x:
! meta-GGA SCAN HRhSe2, single point on PBEsol structure; values from VASP
&SYSTEM
  ibrav = 0, nat = 8, ntyp = 3
/
ATOMIC_SPECIES
Rh 102.91 Rh.upf
H 1.01 H.upf
Se 78.96 Se.upf
CELL_PARAMETERS angstrom
3.666 0.006 0.036
0.696 5.797 0.003
1.199 2.637 7.682
ATOMIC_POSITIONS crystal
Rh 0.805 0.216 0.005
Rh 0.195 0.784 0.995
H 0.050 0.510 0.535
H 0.950 0.490 0.465
Se 0.728 0.998 0.809
Se 0.312 0.483 0.834
Se 0.272 0.002 0.191
Se 0.688 0.517 0.166
! Space-group type: No. 2

---

Last place for stability: w